Entry 1:
# Er6Tm12Pb (PBE-GGA, optimized geometry)
# - DFT formation energy (eV/atom) = 0.07
# - D(E_F) (states/eV/f.u.) = 26.31
# - relative energy among the computed polymorphs (meV/atom) = 0
data_Er6Tm12Pb
_chemical_formula_sum 'Er18 Tm36 Pb3'
_space_group_name_H-M_alt 'R -3'
_space_group_IT_number 148
_space_group_name_Hall '-R 3'
_cell_length_a 11.6574
_cell_length_b 11.6574
_cell_length_c 14.8080
_cell_angle_alpha 90.00
_cell_angle_beta 90.00
_cell_angle_gamma 120.00
loop_
_atom_site_label
_atom_site_type_symbol
_atom_site_fract_x
_atom_site_fract_y
_atom_site_fract_z
Er1 Er 0.0134 0.4250 0.1818
Tm1 Tm 0.0058 0.8259 0.6885
Tm2 Tm 0.0416 0.8487 0.9162
Pb1 Pb 0.0000 0.0000 0.5000

---

Entry 2:
# Er4Tm2Pb (PBE-GGA, optimized geometry)
# - DFT formation energy (eV/atom) = 0.22
# - D(E_F) (states/eV/f.u.) = 9.64
# - relative energy among the computed polymorphs (meV/atom) = 267
data_Er4Tm2Pb
_chemical_formula_sum 'Er4 Tm2 Pb1'
_space_group_name_H-M_alt 'P -4 2 m'
_space_group_IT_number 111
_cell_length_a 8.077
_cell_length_b 8.077
_cell_length_c 3.454
_cell_angle_alpha 90.00
_cell_angle_beta 90.00
_cell_angle_gamma 90.00
loop_
_space_group_symop_operation_xyz
'x,y,z'
'y,-x,-z'
'-x,-y,z'
'-y,x,-z'
'x,-y,-z'
'y,x,z'
'-x,y,-z'
'-y,-x,z'
loop_
_atom_site_label
_atom_site_type_symbol
_atom_site_fract_x
_atom_site_fract_y
_atom_site_fract_z
Er1 Er 0.213 0.213 0.497
Tm1 Tm 0.000 0.500 0.000
Pb1 Pb 0.500 0.500 0.500

---

Entry 3:
# Er5Tm4Pb (PBE-GGA, optimized geometry)
# - DFT formation energy (eV/atom) = 0.08
# - D(E_F) (states/eV/f.u.) = 13.73
# - relative energy among the computed polymorphs (meV/atom) = 0
data_Er5Tm4Pb
_chemical_formula_sum 'Er10 Tm8 Pb2'
_space_group_name_H-M_alt 'C 1 2/m 1'
_space_group_IT_number 12
_cell_length_a 17.137
_cell_length_b 3.488
_cell_length_c 10.796
_cell_angle_alpha 90.00
_cell_angle_beta 98.77
_cell_angle_gamma 90.00
loop_
_space_group_symop_operation_xyz
'x,y,z'
'-x,-y,-z'
'-x,y,-z'
'x,-y,z'
'x+1/2,y+1/2,z'
'-x+1/2,-y+1/2,-z'
'-x+1/2,y+1/2,-z'
'x+1/2,-y+1/2,z'
loop_
_atom_site_label
_atom_site_type_symbol
_atom_site_fract_x
_atom_site_fract_y
_atom_site_fract_z
Er1 Er 0.000 0.000 0.000
Er2 Er 0.163 0.500 0.520
Er3 Er 0.167 0.500 0.937
Tm1 Tm 0.008 0.500 0.262
Tm2 Tm 0.174 0.000 0.230
Pb1 Pb 0.000 0.000 0.500

---

Entry 4:
# Er3Tm2Pb3 (PBE-GGA, optimized geometry)
# - DFT formation energy (eV/atom) = -0.35
# - D(E_F) (states/eV/f.u.) = 6.33
# - relative energy among the computed polymorphs (meV/atom) = 162
data_Er3Tm2Pb3
_chemical_formula_sum 'Er6 Tm4 Pb6'
_space_group_name_H-M_alt 'I m m m'
_space_group_IT_number 71
_space_group_name_Hall '-I 2 2'
_cell_length_a 4.360
_cell_length_b 4.865
_cell_length_c 21.175
_cell_angle_alpha 90.00
_cell_angle_beta 90.00
_cell_angle_gamma 90.00
loop_
_atom_site_label
_atom_site_type_symbol
_atom_site_fract_x
_atom_site_fract_y
_atom_site_fract_z
Er1 Er 0.000 0.000 0.000
Er2 Er 0.000 0.500 0.123
Tm1 Tm 0.000 0.000 0.245
Pb1 Pb 0.000 0.000 0.500
Pb2 Pb 0.000 0.500 0.368

---

Entry 5:
# Er6TmPb (PBE-GGA, optimized geometry)
# - DFT formation energy (eV/atom) = -0.08
# - D(E_F) (states/eV/f.u.) = 13.71
# - relative energy among the computed polymorphs (meV/atom) = 0
data_Er6TmPb
_chemical_formula_sum 'Er6 Tm1 Pb1'
_space_group_name_H-M_alt 'P 4/m m m'
_space_group_IT_number 123
_space_group_name_Hall '-P 4 2'
_cell_length_a 6.972
_cell_length_b 6.972
_cell_length_c 4.875
_cell_angle_alpha 90.00
_cell_angle_beta 90.00
_cell_angle_gamma 90.00
loop_
_atom_site_label
_atom_site_type_symbol
_atom_site_fract_x
_atom_site_fract_y
_atom_site_fract_z
Er1 Er 0.000 0.500 0.000
Er2 Er 0.247 0.247 0.500
Tm1 Tm 0.000 0.000 0.000
Pb1 Pb 0.500 0.500 0.000

---

Entry 6:
# ErTmPb (PBE-GGA, optimized geometry)
# - DFT formation energy (eV/atom) = -0.22
# - D(E_F) (states/eV/f.u.) = 2.52
data_ErTmPb
_chemical_formula_sum 'Er4 Tm4 Pb4'
_space_group_name_H-M_alt 'C 2 2 21'
_space_group_IT_number 20
_cell_length_a 3.490
_cell_length_b 17.754
_cell_length_c 5.698
_cell_angle_alpha 90.00
_cell_angle_beta 90.00
_cell_angle_gamma 90.00
loop_
_space_group_symop_operation_xyz
'x,y,z'
'-x,-y,z+1/2'
'x,-y,-z'
'-x,y,-z+1/2'
'x+1/2,y+1/2,z'
'-x+1/2,-y+1/2,z+1/2'
'x+1/2,-y+1/2,-z'
'-x+1/2,y+1/2,-z+1/2'
loop_
_atom_site_label
_atom_site_type_symbol
_atom_site_fract_x
_atom_site_fract_y
_atom_site_fract_z
Er1 Er 0.000 0.170 0.250
Tm1 Tm 0.212 0.500 0.000
Pb1 Pb 0.000 0.345 0.250